Entry 1:
A plane-wave DFT calculation with SCAN was carried out for a PBEsol-optimized structure of TcNiOs.

DFT formation energy = 0.136 eV per atom

a b c (Å): 4.132 4.132 2.634
angles (deg): 90.00 90.00 120.00
Fractional positions:
Tc: 0.000 0.000 0.000
Ni: 0.333 0.667 0.500
Os: 0.667 0.333 0.500


Entry 2:
A plane-wave DFT calculation with SCAN was carried out for a PBEsol-optimized structure of Re2IrBr.

E_form (uncorrected) = 4.933 eV per formula unit

a b c (Å): 4.601 4.601 2.838
angles (deg): 90.00 90.00 90.00
Fractional positions:
Re: 0.000 0.500 0.000
Re: 0.500 0.000 0.000
Ir: 0.000 0.000 0.500
Br: 0.500 0.500 0.500


Entry 3:
A plane-wave DFT calculation with SCAN was carried out for a PBEsol-optimized structure of Y3CoSb.

E_form (uncorrected) = -1.962 eV per formula unit

a b c (Å): 5.041 5.041 5.041
angles (deg): 90.00 90.00 90.00
Fractional positions:
Y: 0.000 0.000 0.500
Y: 0.000 0.500 0.000
Y: 0.500 0.000 0.000
Co: 0.000 0.000 0.000
Sb: 0.500 0.500 0.500


Entry 4:
A plane-wave DFT calculation with SCAN was carried out for a PBEsol-optimized structure of KCaSb2.

E_form (uncorrected) = -2.328 eV per formula unit

a b c (Å): 7.786 7.786 7.786
angles (deg): 150.34 142.98 48.14
Fractional positions:
K: 0.000 0.000 0.000
Ca: 0.746 0.246 0.500
Sb: 0.221 0.721 0.500
Sb: 0.383 0.383 0.000


Entry 5:
A plane-wave DFT calculation with SCAN was carried out for a PBEsol-optimized structure of KCoRuRh2.

DFT formation energy = 1.742 eV per atom

a b c (Å): 4.586 4.586 5.188
angles (deg): 90.00 90.00 90.00
Fractional positions:
K: 0.000 0.000 0.000
Co: 0.500 0.500 0.000
Ru: 0.000 0.000 0.500
Rh: 0.000 0.500 0.500
Rh: 0.500 0.000 0.500


Entry 6:
A plane-wave DFT calculation with SCAN was carried out for a PBEsol-optimized structure of Mn5Ru4.

DFT formation energy = 0.023 eV per atom

a b c (Å): 5.708 5.708 5.708
angles (deg): 95.77 95.77 143.01
Fractional positions:
Mn: 0.000 0.000 0.000
Mn: 0.337 0.337 0.673
Mn: 0.337 0.663 0.000
Mn: 0.663 0.337 0.000
Mn: 0.663 0.663 0.327
Ru: 0.000 0.322 0.322
Ru: 0.000 0.678 0.678
Ru: 0.322 0.000 0.322
Ru: 0.678 0.000 0.678


Entry 7:
A plane-wave DFT calculation with SCAN was carried out for a PBEsol-optimized structure of MgMn2Cl.

E_form (uncorrected) = -0.683 eV per formula unit

a b c (Å): 2.993 2.993 8.409
angles (deg): 90.00 90.00 115.45
Fractional positions:
Mg: 0.000 0.000 0.000
Mn: 0.500 0.500 0.269
Mn: 0.500 0.500 0.731
Cl: 0.000 0.000 0.500


Entry 8:
A plane-wave DFT calculation with SCAN was carried out for a PBEsol-optimized structure of SiPb3Cl.

E_form (uncorrected) = 1.366 eV per formula unit

a b c (Å): 5.390 5.390 5.390
angles (deg): 90.00 90.00 90.00
Fractional positions:
Si: 0.000 0.000 0.000
Pb: 0.000 0.000 0.500
Pb: 0.000 0.500 0.000
Pb: 0.500 0.000 0.000
Cl: 0.500 0.500 0.500


Entry 9:
A plane-wave DFT calculation with SCAN was carried out for a PBEsol-optimized structure of LaAl2Os.

DFT formation energy = -0.340 eV per atom

a b c (Å): 3.250 3.250 7.260
angles (deg): 90.00 90.00 90.00
Fractional positions:
La: 0.000 0.000 0.000
Al: 0.000 0.000 0.437
Al: 0.500 0.500 0.658
Os: 0.500 0.500 0.288


Entry 10:
A plane-wave DFT calculation with SCAN was carried out for a PBEsol-optimized structure of Hg2TeRh.

E_form (uncorrected) = 2.004 eV per formula unit

a b c (Å): 4.874 4.874 4.874
angles (deg): 60.00 60.00 60.00
Fractional positions:
Hg: 0.250 0.250 0.250
Hg: 0.750 0.750 0.750
Te: 0.000 0.000 0.000
Rh: 0.500 0.500 0.500


Entry 11:
A plane-wave DFT calculation with SCAN was carried out for a PBEsol-optimized structure of MnCo.

DFT formation energy = 0.072 eV per atom

a b c (Å): 3.930 3.930 3.930
angles (deg): 60.00 60.00 60.00
Fractional positions:
Mn: 0.125 0.125 0.125
Mn: 0.875 0.875 0.875
Co: 0.375 0.375 0.375
Co: 0.625 0.625 0.625


Entry 12:
A plane-wave DFT calculation with SCAN was carried out for a PBEsol-optimized structure of HfTlSN2.

E_form (uncorrected) = -0.067 eV per formula unit

a b c (Å): 4.084 4.084 5.286
angles (deg): 90.00 90.00 90.00
Fractional positions:
Hf: 0.000 0.000 0.000
Tl: 0.500 0.500 0.500
S: 0.000 0.000 0.500
N: 0.000 0.500 0.000
N: 0.500 0.000 0.000


Entry 13:
A plane-wave DFT calculation with SCAN was carried out for a PBEsol-optimized structure of BaReSb2.

E_form (uncorrected) = 3.787 eV per formula unit

a b c (Å): 5.167 5.167 5.167
angles (deg): 60.00 60.00 60.00
Fractional positions:
Ba: 0.000 0.000 0.000
Re: 0.750 0.750 0.750
Sb: 0.250 0.250 0.250
Sb: 0.500 0.500 0.500


Entry 14:
A plane-wave DFT calculation with SCAN was carried out for a PBEsol-optimized structure of MnMo2Os.

DFT formation energy = 0.102 eV per atom

a b c (Å): 2.715 3.836 5.383
angles (deg): 90.00 90.00 90.00
Fractional positions:
Mn: 0.000 0.000 0.000
Mo: 0.500 0.500 0.246
Mo: 0.500 0.500 0.754
Os: 0.000 0.000 0.500


Entry 15:
A plane-wave DFT calculation with SCAN was carried out for a PBEsol-optimized structure of TlAsSe2F.

E_form (uncorrected) = 4.137 eV per formula unit

a b c (Å): 5.237 5.237 5.389
angles (deg): 90.00 90.00 90.00
Fractional positions:
Tl: 0.000 0.000 0.000
As: 0.000 0.000 0.500
Se: 0.000 0.500 0.000
Se: 0.500 0.000 0.000
F: 0.500 0.500 0.500


Entry 16:
A plane-wave DFT calculation with SCAN was carried out for a PBEsol-optimized structure of Co2AgOs.

DFT formation energy = 0.383 eV per atom

a b c (Å): 8.726 8.726 8.726
angles (deg): 17.41 17.41 17.41
Fractional positions:
Co: 0.000 0.000 0.000
Co: 0.261 0.261 0.261
Ag: 0.507 0.507 0.507
Os: 0.744 0.744 0.744


Entry 17:
A plane-wave DFT calculation with SCAN was carried out for a PBEsol-optimized structure of KMnMo2.

DFT formation energy = 1.350 eV per atom

a b c (Å): 4.601 4.601 4.601
angles (deg): 60.00 60.00 60.00
Fractional positions:
K: 0.000 0.000 0.000
Mn: 0.750 0.750 0.750
Mo: 0.250 0.250 0.250
Mo: 0.500 0.500 0.500


Entry 18:
A plane-wave DFT calculation with SCAN was carried out for a PBEsol-optimized structure of Cd3OsPd.

DFT formation energy = 1.277 eV per atom

a b c (Å): 4.889 4.889 4.889
angles (deg): 90.00 90.00 90.00
Fractional positions:
Cd: 0.000 0.000 0.500
Cd: 0.000 0.500 0.000
Cd: 0.500 0.000 0.000
Os: 0.500 0.500 0.500
Pd: 0.000 0.000 0.000


Entry 19:
A plane-wave DFT calculation with SCAN was carried out for a PBEsol-optimized structure of TiS2I.

E_form (uncorrected) = -2.346 eV per formula unit

a b c (Å): 6.835 6.835 6.835
angles (deg): 120.78 120.78 88.65
Fractional positions:
Ti: 0.000 0.000 0.000
Ti: 0.750 0.250 0.500
S: 0.003 0.625 0.878
S: 0.375 0.253 0.378
S: 0.747 0.125 0.122
S: 0.875 0.997 0.622
I: 0.250 0.750 0.500
I: 0.500 0.500 0.000


Entry 20:
A plane-wave DFT calculation with SCAN was carried out for a PBEsol-optimized structure of CrFeRe.

DFT formation energy = -0.009 eV per atom

a b c (Å): 4.130 4.130 2.523
angles (deg): 90.00 90.00 120.00
Fractional positions:
Cr: 0.000 0.000 0.000
Fe: 0.667 0.333 0.680
Re: 0.333 0.667 0.318


Entry 21:
A plane-wave DFT calculation with SCAN was carried out for a PBEsol-optimized structure of Li2O.

E_form (uncorrected) = -6.069 eV per formula unit

a b c (Å): 3.237 3.237 3.237
angles (deg): 60.00 60.00 60.00
Fractional positions:
Li: 0.250 0.250 0.250
Li: 0.750 0.750 0.750
O: 0.000 0.000 0.000


Entry 22:
A plane-wave DFT calculation with SCAN was carried out for a PBEsol-optimized structure of GeH2IrAu.

electronic total energy = -32.614 eV/atom

a b c (Å): 3.636 3.636 4.978
angles (deg): 90.00 90.00 90.00
Fractional positions:
Ge: 0.000 0.000 0.000
H: 0.000 0.500 0.000
H: 0.500 0.000 0.000
Ir: 0.000 0.000 0.500
Au: 0.500 0.500 0.500


Entry 23:
A plane-wave DFT calculation with SCAN was carried out for a PBEsol-optimized structure of YAlCu3.

DFT formation energy = 1.384 eV per atom

a b c (Å): 4.936 4.936 4.936
angles (deg): 90.00 90.00 90.00
Fractional positions:
Y: 0.000 0.000 0.000
Al: 0.500 0.500 0.500
Cu: 0.000 0.000 0.500
Cu: 0.000 0.500 0.000
Cu: 0.500 0.000 0.000


Entry 24:
A plane-wave DFT calculation with SCAN was carried out for a PBEsol-optimized structure of Re2MoPtW.

DFT formation energy = 2.194 eV per atom

a b c (Å): 4.619 4.619 4.723
angles (deg): 90.00 90.00 90.00
Fractional positions:
Re: 0.000 0.500 0.000
Re: 0.500 0.000 0.000
Mo: 0.000 0.000 0.500
Pt: 0.500 0.500 0.500
W: 0.500 0.500 0.000


Entry 25:
A plane-wave DFT calculation with SCAN was carried out for a PBEsol-optimized structure of AlAsOF2.

E_form (uncorrected) = -9.143 eV per formula unit

a b c (Å): 3.893 3.893 3.650
angles (deg): 90.00 90.00 90.00
Fractional positions:
Al: 0.000 0.000 0.000
As: 0.500 0.500 0.500
O: 0.000 0.000 0.500
F: 0.000 0.500 0.000
F: 0.500 0.000 0.000


Entry 26:
A plane-wave DFT calculation with SCAN was carried out for a PBEsol-optimized structure of CrSeIO2.

E_form (uncorrected) = -2.839 eV per formula unit

a b c (Å): 3.765 3.765 5.907
angles (deg): 90.00 90.00 90.00
Fractional positions:
Cr: 0.000 0.000 0.000
Se: 0.500 0.500 0.500
I: 0.000 0.000 0.500
O: 0.000 0.500 0.000
O: 0.500 0.000 0.000


Entry 27:
A plane-wave DFT calculation with SCAN was carried out for a PBEsol-optimized structure of TlNiP2.

DFT formation energy = 0.479 eV per atom

a b c (Å): 3.587 3.587 5.122
angles (deg): 90.00 90.00 90.00
Fractional positions:
Tl: 0.000 0.000 0.000
Ni: 0.500 0.500 0.000
P: 0.000 0.000 0.500
P: 0.500 0.500 0.500


Entry 28:
A plane-wave DFT calculation with SCAN was carried out for a PBEsol-optimized structure of Ti2NbZnAs.

DFT formation energy = 1.029 eV per atom

a b c (Å): 4.647 4.647 4.881
angles (deg): 90.00 90.00 90.00
Fractional positions:
Ti: 0.000 0.500 0.000
Ti: 0.500 0.000 0.000
Nb: 0.000 0.000 0.000
Zn: 0.000 0.000 0.500
As: 0.500 0.500 0.500


Entry 29:
A plane-wave DFT calculation with SCAN was carried out for a PBEsol-optimized structure of YAgPt2.

DFT formation energy = -0.815 eV per atom

a b c (Å): 3.511 3.511 5.804
angles (deg): 90.00 90.00 90.00
Fractional positions:
Y: 0.000 0.000 0.000
Ag: 0.000 0.000 0.500
Pt: 0.500 0.500 0.259
Pt: 0.500 0.500 0.741


Entry 30:
A plane-wave DFT calculation with SCAN was carried out for a PBEsol-optimized structure of NbRhF2.

E_form (uncorrected) = -3.554 eV per formula unit

a b c (Å): 8.379 8.379 8.379
angles (deg): 18.96 18.96 18.96
Fractional positions:
Nb: 0.000 0.000 0.000
Rh: 0.500 0.500 0.500
F: 0.081 0.081 0.081
F: 0.919 0.919 0.919


DOS(E_F)? In order: 1.12; 1.11; 0.98; 0.41; 1.16; 0.97; 0.56; 0.58; 0.68; 1.09; 1.00; 0.64; 0.85; 0.96; 0.97; 0.73; 0.80; 0.67; 0.75; 0.46; 0.00; 0.57; 0.31; 0.77; 0.44; 0.56; 0.54; 0.90; 0.39; 0.88 states/eV/atom.